The following is a GGA-PBE calculation of an optimized crystal structure of Tl3IrBr, from Alexandria.

The value obtained for the density of states at the Fermi level is 1.76 states/eV/f.u. Its uncorrected energy is -18.8 eV for the cell shown. For the energy above the lowest structure with this stoichiometry, the calculation gives 0.0 meV/atom. The value obtained for the total moment is 0.0 μB per cell.

CIF file:
```
data_Tl3IrBr
_cell_length_a 5.343
_cell_length_b 5.343
_cell_length_c 5.343
_cell_angle_alpha 90.00
_cell_angle_beta 90.00
_cell_angle_gamma 90.00
_space_group_name_H-M_alt 'P m -3 m'
_space_group_IT_number 221
_space_group_name_Hall '-P 4 2 3'
loop_
_atom_site_label
_atom_site_fract_x
_atom_site_fract_y
_atom_site_fract_z
_atom_site_occupancy
Tl1 0.000 0.000 0.500 1
Ir1 0.000 0.000 0.000 1
Br1 0.500 0.500 0.500 1
```

=====

The following is a GGA-PBE calculation of an optimized crystal structure of TlIr2Br, from Alexandria.

The value obtained for the density of states at the Fermi level is 3.18 states/eV/f.u. Its uncorrected energy is -35.1 eV for the cell shown. For the energy above the lowest structure with this stoichiometry, the calculation gives 653.7 meV/atom. The value obtained for the total moment is 0.0 μB per cell.

CIF file:
```
data_TlIr2Br
_cell_length_a 6.203
_cell_length_b 7.548
_cell_length_c 3.093
_cell_angle_alpha 90.00
_cell_angle_beta 90.00
_cell_angle_gamma 90.00
_space_group_name_H-M_alt 'C m m m'
_space_group_IT_number 65
_space_group_name_Hall '-C 2 2'
loop_
_atom_site_label
_atom_site_fract_x
_atom_site_fract_y
_atom_site_fract_z
_atom_site_occupancy
Tl1 0.000 0.000 0.000 1
Ir1 0.250 0.250 0.500 1
Br1 0.000 0.500 0.000 1
```

=====

The following is a GGA-PBE calculation of an optimized crystal structure of TlIrBr, from Alexandria.

The value obtained for the density of states at the Fermi level is 3.18 states/eV/f.u. Its uncorrected energy is -44.3 eV for the cell shown. For the energy above the lowest structure with this stoichiometry, the calculation gives 143.7 meV/atom. The value obtained for the total moment is 0.0 μB per cell.

CIF file:
```
data_TlIrBr
_cell_length_a 6.559
_cell_length_b 6.559
_cell_length_c 6.559
_cell_angle_alpha 90.00
_cell_angle_beta 90.00
_cell_angle_gamma 90.00
_space_group_name_H-M_alt 'F -4 3 m'
_space_group_IT_number 216
_space_group_name_Hall 'F -4 2 3'
loop_
_atom_site_label
_atom_site_fract_x
_atom_site_fract_y
_atom_site_fract_z
_atom_site_occupancy
Tl1 0.000 0.000 0.000 1
Ir1 0.250 0.250 0.750 1
Br1 0.000 0.000 0.500 1
```

=====

The following is a GGA-PBE calculation of an optimized crystal structure of Tl2IrBr6, from Alexandria.

The value obtained for the density of states at the Fermi level is 7.90 states/eV/f.u. Its uncorrected energy is -56.5 eV for the cell shown. For the energy above the lowest structure with this stoichiometry, the calculation gives 0.0 meV/atom. The value obtained for the total moment is 2.1 μB per cell.

CIF file:
```
data_Tl2IrBr6
_cell_length_a 12.762
_cell_length_b 7.372
_cell_length_c 7.371
_cell_angle_alpha 90.00
_cell_angle_beta 125.27
_cell_angle_gamma 90.00
_space_group_name_H-M_alt 'C 1 2/m 1'
_space_group_IT_number 12
_space_group_name_Hall '-C 2y'
loop_
_atom_site_label
_atom_site_fract_x
_atom_site_fract_y
_atom_site_fract_z
_atom_site_occupancy
Tl1 0.250 0.000 0.250 1
Ir1 0.000 0.000 0.500 1
Br1 0.000 0.239 0.261 1
Br2 0.239 0.000 0.738 1
```

=====

Number 1: uncorrected formation energy -0.2368 eV per atom. Number 2: uncorrected formation energy 1.0565 eV per atom. Number 3: uncorrected formation energy 0.6119 eV per atom. Number 4: uncorrected formation energy -0.5144 eV per atom.